No. 1
Here is a relaxed structure of Cs2LiTlCl6 from Alexandria via LeMat-Bulk. Energies are from GGA-PBEsol.

abc: 7.3020 7.3020 7.3020
angles: 60.00 60.00 60.00
Element x y z (fractional)
Cl: 0.2488 0.7512 0.2488
Cl: 0.7512 0.7512 0.2488
Cl: 0.7512 0.2488 0.7512
Cl: 0.2488 0.2488 0.7512
Cl: 0.2488 0.7512 0.7512
Cl: 0.7512 0.2488 0.2488
Cs: 0.2500 0.2500 0.2500
Cs: 0.7500 0.7500 0.7500
Tl: 0.5000 0.5000 0.5000
Li: 0.0000 0.0000 0.0000

## Properties
VASP energy in eV/cell: -33.34
Formation energy (no corrections) in eV/atom: -1.4807


No. 2
Here is a relaxed structure of BaCaRu2 from Alexandria via LeMat-Bulk. Energies are from GGA-PBEsol.

abc: 4.8795 4.8848 4.8795
angles: 60.04 90.00 119.96
Element x y z (fractional)
Ca: 0.7500 0.5000 0.7500
Ba: 0.5000 0.0000 0.5000
Ru: 0.2500 0.5000 0.2500
Ru: 0.0000 0.0000 0.0000

## Properties
E_form in eV per atom: 0.91
VASP energy in eV/cell: -20.99
ΔE to the lowest computed polymorph in meV per atom: 477


No. 3
Here is a relaxed structure of NaHf2TiTl from Alexandria via LeMat-Bulk. Energies are from GGA-PBEsol.

abc: 4.8136 4.8888 4.8888
angles: 90.00 90.00 90.00
Each line ends with the local moment (μB).
Element x y z (fractional)
Tl: 0.5000 0.0000 0.0000  0.00
Hf: 0.0000 0.5000 0.0000  0.02
Hf: 0.0000 0.0000 0.5000  0.02
Na: 0.0000 0.0000 0.0000  0.01
Ti: 0.5000 0.5000 0.5000  0.99

## Properties
E_form in eV per atom: 1.57
VASP energy in eV/cell: -25.51


No. 4
Here is a relaxed structure of Na2LiMg2 from Alexandria via LeMat-Bulk. Energies are from GGA-PBEsol.

abc: 3.3504 9.1700 9.1700
angles: 90.00 90.00 90.00
Element x y z (fractional)
Mg: 0.5000 0.1705 0.6705
Mg: 0.5000 0.6705 0.8295
Mg: 0.5000 0.3295 0.1705
Mg: 0.5000 0.8295 0.3295
Na: 0.0000 0.6280 0.1280
Na: 0.0000 0.3720 0.8720
Na: 0.0000 0.1280 0.3720
Na: 0.0000 0.8720 0.6280
Li: 0.0000 0.0000 0.0000
Li: 0.0000 0.5000 0.5000

## Properties
E_form in eV per atom: 0.21
VASP energy in eV/cell: -14.35


No. 5
Here is a relaxed structure of MoI2 from Alexandria via LeMat-Bulk. Energies are from GGA-PBEsol.

abc: 10.1869 10.1869 12.4959
angles: 90.00 90.00 104.24
Element x y z (fractional)
I: 0.1528 0.1528 0.3474
I: 0.8086 0.0503 0.2095
I: 0.8472 0.8472 0.6526
I: 0.0881 0.3302 0.0705
I: 0.6528 0.6528 0.1526
I: 0.1698 0.4119 0.5705
I: 0.4497 0.6914 0.7095
I: 0.1914 0.9497 0.7905
I: 0.6914 0.4497 0.7095
I: 0.0503 0.8086 0.2095
I: 0.4119 0.1698 0.5705
I: 0.3302 0.0881 0.0705
I: 0.9497 0.1914 0.7905
I: 0.3086 0.5503 0.2905
I: 0.8302 0.5881 0.4295
I: 0.7914 0.2086 0.5000
I: 0.5503 0.3086 0.2905
I: 0.6698 0.9119 0.9295
I: 0.9119 0.6698 0.9295
I: 0.2086 0.7914 0.5000
I: 0.2914 0.7086 0.0000
I: 0.3472 0.3472 0.8474
I: 0.7086 0.2914 0.0000
I: 0.5881 0.8302 0.4295
Mo: 0.3831 0.6169 0.5000
Mo: 0.5668 0.5668 0.3655
Mo: 0.8655 0.8655 0.0668
Mo: 0.4332 0.4332 0.6345
Mo: 0.9332 0.9332 0.8655
Mo: 0.3655 0.3655 0.4332
Mo: 0.8831 0.1169 0.0000
Mo: 0.0668 0.0668 0.1345
Mo: 0.6345 0.6345 0.5668
Mo: 0.6169 0.3831 0.5000
Mo: 0.1345 0.1345 0.9332
Mo: 0.1169 0.8831 0.0000

## Properties
VASP energy in eV/cell: -197.48
Formation energy (no corrections) in eV/atom: -0.3850


No. 6
Here is a relaxed structure of YAu3 from Alexandria via LeMat-Bulk. Energies are from GGA-PBEsol.

abc: 4.7808 4.7808 4.7808
angles: 60.00 60.00 60.00
Element x y z (fractional)
Y: 0.5000 0.5000 0.5000
Au: 0.0000 0.0000 0.0000
Au: 0.7500 0.7500 0.7500
Au: 0.2500 0.2500 0.2500

## Properties
E_form in eV per atom: -0.67
VASP energy in eV/cell: -21.28


No. 7
Here is a relaxed structure of NaAs3Cl from Alexandria via LeMat-Bulk. Energies are from GGA-PBEsol.

abc: 4.9603 4.9603 4.9603
angles: 90.00 90.00 90.00
Element x y z (fractional)
Cl: 0.0000 0.0000 0.0000
As: 0.0000 0.5000 0.0000
As: 0.5000 0.0000 0.0000
As: 0.0000 0.0000 0.5000
Na: 0.5000 0.5000 0.5000

## Properties
VASP energy in eV/cell: -15.20
Formation energy (no corrections) in eV/atom: 0.7047


No. 8
Here is a relaxed structure of Sc2MnTc from Alexandria via LeMat-Bulk. Energies are from GGA-PBEsol.

abc: 2.8824 2.8824 8.2017
angles: 90.00 90.00 108.22
Each line ends with the local moment (μB).
Element x y z (fractional)
Sc: 0.0000 0.0000 0.7531  -0.15
Sc: 0.0000 0.0000 0.2469  -0.15
Tc: 0.5000 0.5000 0.5000  0.02
Mn: 0.5000 0.5000 0.0000  2.23

## Properties
E_form in eV per atom: 0.19
VASP energy in eV/cell: -33.50


No. 9
Here is a relaxed structure of Li8Cr3SbO12 from Alexandria via LeMat-Bulk. Energies are from GGA-PBEsol.

abc: 4.9349 4.9393 8.4064
angles: 90.00 90.00 90.13
Each line ends with the local moment (μB).
Element x y z (fractional)
Li: 0.9997 0.0002 0.7397  0.00
Li: 0.5003 0.4998 0.2506  0.00
Li: 0.5001 0.4995 0.9339  0.00
Li: 0.0000 0.5007 0.5774  0.00
Li: 0.0004 0.5000 0.2796  0.00
Li: 0.0000 0.0003 0.4430  0.00
Li: 0.4998 0.9998 0.7649  0.00
Li: 0.5000 0.9992 0.0763  0.00
O: 0.2833 0.8232 0.5818  -0.02
O: 0.7483 0.1531 0.2599  0.01
O: 0.2517 0.8469 0.2599  0.01
O: 0.2216 0.3343 0.0800  -0.01
O: 0.7146 0.6757 0.4358  -0.01
O: 0.2499 0.3576 0.7548  -0.01
O: 0.2853 0.3243 0.4357  -0.01
O: 0.7760 0.1739 0.9251  0.01
O: 0.7166 0.1769 0.5818  -0.02
O: 0.2239 0.8263 0.9251  0.01
O: 0.7501 0.6426 0.7548  -0.01
O: 0.7784 0.6658 0.0800  -0.01
Cr: 0.5000 0.0000 0.4266  2.26
Cr: 0.5000 0.4999 0.5990  2.10
Cr: 0.0000 0.5000 0.9019  2.32
Sb: 0.0000 0.0001 0.0986  0.02

## Properties
VASP energy in eV/cell: -160.60
Formation energy (no corrections) in eV/atom: -1.9414


No. 10
Here is a relaxed structure of SrCdRh2 from Alexandria via LeMat-Bulk. Energies are from GGA-PBEsol.

abc: 3.0034 4.9883 5.5402
angles: 110.36 105.73 90.00
Element x y z (fractional)
Cd: 0.2732 0.8149 0.5464
Sr: 0.4845 0.4423 0.9690
Rh: 0.0231 0.9588 0.0462
Rh: 0.7192 0.2841 0.4384

## Properties
E_form in eV per atom: 0.02
VASP energy in eV/cell: -19.24


No. 11
Here is a relaxed structure of YBeOs2 from Alexandria via LeMat-Bulk. Energies are from GGA-PBEsol.

abc: 2.7992 2.7992 9.2479
angles: 81.30 81.30 60.00
Element x y z (fractional)
Y: 0.5020 0.5020 0.4939
Be: 0.2626 0.2626 0.2122
Os: 0.9964 0.9964 0.0109
Os: 0.7390 0.7390 0.7831

## Properties
E_form in eV per atom: 0.51
VASP energy in eV/cell: -33.20


No. 12
Here is a relaxed structure of InIrW2 from Alexandria via LeMat-Bulk. Energies are from GGA-PBEsol.

abc: 3.4179 3.4179 5.7332
angles: 90.00 90.00 90.00
Element x y z (fractional)
In: 0.5000 0.5000 0.0000
W: 0.0000 0.0000 0.7158
W: 0.0000 0.0000 0.2842
Ir: 0.5000 0.5000 0.5000

## Properties
E_form in eV per atom: 0.52
VASP energy in eV/cell: -38.34


Density list, top to bottom, in Mg/m³: 4.2 7.7 9.1 1.2 5.5 14.6 3.9 6.2 4.3 9.0 12.9 16.7